Computed, not measured: an optimized crystal structure of PuPb2 at the PBE level of DFT.

As for the crystal system: cubic.

The space group is Fd-3m (No. 227, origin choice 2) and the conventional cell measures 9.0496, 9.0496 and 9.0496 Å, with angles of 90.00, 90.00 and 90.00 degrees. The asymmetric unit holds Pu at (0.1250, 0.1250, 0.1250) and Pb at (0.0000, 0.0000, 0.5000).

=====

Computed, not measured: an optimized crystal structure of CaNbGa2Au at the PBE level of DFT.

As for the crystal system: tetragonal.

The space group is P4/mmm (No. 123) and the conventional cell measures 5.2053, 5.2053 and 4.8583 Å, with angles of 90.00, 90.00 and 90.00 degrees. The asymmetric unit holds Ca at (0.0000, 0.0000, 0.0000), Nb at (0.0000, 0.0000, 0.5000), Ga at (0.0000, 0.5000, 0.0000) and Au at (0.5000, 0.5000, 0.5000).

=====

Computed, not measured: an optimized crystal structure of MgTiPd6 at the PBE level of DFT.

As for the crystal system: tetragonal.

The space group is P4/mmm (No. 123) and the conventional cell measures 3.9470, 3.9470 and 7.8920 Å, with angles of 90.00, 90.00 and 90.00 degrees. The asymmetric unit holds Mg at (0.0000, 0.0000, 0.0000), Ti at (0.0000, 0.0000, 0.5000), Pd at (0.0000, 0.5000, 0.2570), Pd at (0.5000, 0.5000, 0.0000) and Pd at (0.5000, 0.5000, 0.5000).

=====

| no. | energy relative to the elements (eV per formula unit) | final energy (eV/cell) |
| --- | --- | --- |
| 1 | 0.20 | -172.36 |
| 2 | 7.47 | -13.93 |
| 3 | -4.64 | -45.29 |